A plane-wave DFT calculation with GGA-PBE was carried out for a relaxed structure of Ac3Pt2N.

Cell: 6.781 7.576 14.902 Å, 87.44 84.28 63.41°
Atoms (fractional coordinates):
Ac 0.988 0.024 0.250
Ac 0.324 0.809 0.477
Ac 0.852 0.636 0.629
Ac 0.012 0.976 0.750
Ac 0.398 0.204 0.750
Ac 0.867 0.809 0.023
Ac 0.133 0.191 0.977
Ac 0.488 0.364 0.129
Ac 0.676 0.191 0.523
Ac 0.602 0.796 0.250
Ac 0.512 0.636 0.871
Ac 0.148 0.364 0.371
N 0.290 0.984 0.845
N 0.710 0.016 0.155
N 0.274 0.016 0.345
N 0.726 0.984 0.655
Pt 0.596 0.418 0.339
Pt 0.351 0.794 0.074
Pt 0.985 0.418 0.161
Pt 0.649 0.206 0.926
Pt 0.015 0.582 0.839
Pt 0.145 0.206 0.574
Pt 0.855 0.794 0.426
Pt 0.404 0.582 0.661

Calculated values
Total moment (μB/cell): 0.0
Crystal system: monoclinic
ρ (g cm⁻³): 10.58
Uncorrected formation energy (eV/atom): -1.006